This record from Alexandria describes SrTm2Tl2Ag2 after structural relaxation. The functional is GGA-PBE.

Calculated formation energy, eV/atom: -0.21
E, eV for the cell shown: -22.5
Total moment, Bohr magnetons per cell: 0.0

Lattice parameters (Å, degrees): 4.9487 4.9487 9.6985 75.22 75.22 60.00
Positions (direct):
Ag 0.5557 0.5557 0.3330
Ag 0.4443 0.4443 0.6670
Tm 0.8652 0.8652 0.4043
Tm 0.1348 0.1348 0.5957
Tl 0.2543 0.2543 0.2371
Tl 0.7457 0.7457 0.7629
Sr 0.0000 0.0000 0.0000